Material: Ac2FeWO6
Method: DFT, PBE with a Hubbard U
State: optimized geometry

Geometry as extended XYZ:
```
10
Lattice="5.8159 0.0000 0.0000 0.0000 5.8159 0.0000 0.0000 0.0000 4.1416" Properties=species:S:1:pos:R:3 pbc="T T T"
Ac 0.0000 2.9079 0.0000
Ac 2.9079 0.0000 0.0000
Fe 0.0000 0.0000 2.0708
W 2.9079 2.9079 2.0708
O 0.0000 0.0000 0.0000
O 1.4832 1.4832 2.0708
O 1.4832 4.3326 2.0708
O 2.9079 2.9079 0.0000
O 4.3326 1.4832 2.0708
O 4.3326 4.3326 2.0708
```

mass density: 9.36 g cm⁻³
raw total energy: -7.588 eV per atom
symmetry: P4/mmm (123)